Entry 1:
Density functional theory data (PBE) for Sm6Te2PbSe3 after structural relaxation.

Unit cell a=4.299 b=8.710 c=9.700 alpha=103.45 beta=102.80 gamma=90.00
Fractional positions:
Sm1 0.331 0.935 0.661
Sm2 0.659 0.600 0.318
Sm3 0.669 0.065 0.339
Sm4 0.995 0.258 0.990
Sm5 0.005 0.742 0.010
Sm6 0.341 0.400 0.682
Te1 0.831 0.664 0.663
Te2 0.169 0.336 0.337
Pb1 0.500 0.000 0.000
Se1 0.500 0.500 0.000
Se2 0.832 0.167 0.665
Se3 0.168 0.833 0.335

**SG**: C2/m
**Calculated total energy**: -5.5379 eV per atom
**Uncorrected formation energy**: -1.4745 eV per atom
**Calculated density**: 7.7 Mg/m³

=====

Entry 2:
Density functional theory data (PBE) for Y2Pt2Pb after structural relaxation.

Unit cell a=5.362 b=5.362 c=5.808 alpha=62.51 beta=62.51 gamma=90.00
Fractional positions:
Pb1 0.000 0.000 0.000
Y1 0.750 0.250 0.500
Y2 0.250 0.750 0.500
Pt1 0.357 0.357 0.286
Pt2 0.643 0.643 0.714

**SG**: I4/mmm
**Calculated total energy**: -6.5510 eV per atom
**Energy of formation**: -807 meV/atom
**Calculated density**: 10.2 Mg/m³

=====

Entry 3:
Density functional theory data (PBE) for Ac4HgIr2 after structural relaxation.

Unit cell a=4.380 b=4.380 c=15.277 alpha=81.76 beta=81.76 gamma=60.00
Fractional positions:
Ac1 0.125 0.125 0.626
Ac2 0.279 0.279 0.162
Ac3 0.721 0.721 0.838
Ac4 0.875 0.875 0.374
Ir1 0.424 0.424 0.729
Ir2 0.576 0.576 0.271
Hg1 0.000 0.000 0.000

**SG**: R-3m
**Calculated total energy**: -5.5300 eV per atom
**Energy of formation**: -608 meV/atom
**Calculated density**: 9.9 Mg/m³

=====

Entry 4:
Density functional theory data (PBE) for K2LaPb after structural relaxation.

Unit cell a=4.752 b=3.964 c=10.831 alpha=68.62 beta=90.00 gamma=90.00
Fractional positions:
K1 0.000 0.058 0.942
K2 0.500 0.220 0.279
La1 0.000 0.421 0.579
Pb1 0.500 0.801 0.700

**SG**: Pm
**Calculated total energy**: -2.7969 eV per atom
**Energy of formation**: -89 meV/atom
**Calculated density**: 3.7 Mg/m³

=====

Entry 5:
Density functional theory data (PBE) for TaRu2Rh after structural relaxation.

Unit cell a=3.306 b=3.306 c=5.603 alpha=90.00 beta=90.00 gamma=90.00
Fractional positions:
Rh1 0.500 0.500 0.747
Ru1 0.000 0.000 0.016
Ru2 0.500 0.500 0.233
Ta1 0.000 0.000 0.504

**Relative energy among the computed polymorphs**: 0.296 eV/atom
**SG**: P4mm
**Calculated total energy**: -9.4768 eV per atom
**Energy of formation**: -38 meV/atom
**Calculated density**: 13.2 Mg/m³

=====

Entry 6:
Density functional theory data (PBE) for V6TcRh5 after structural relaxation.

Unit cell a=4.510 b=5.609 c=6.601 alpha=90.00 beta=96.75 gamma=90.00
Fractional positions:
Rh1 0.648 0.500 0.329
Rh2 0.361 0.000 0.671
Rh3 0.000 0.500 0.000
Rh4 0.639 0.000 0.329
Rh5 0.352 0.500 0.671
Tc1 0.000 0.000 0.000
V1 0.856 0.752 0.661
V2 0.856 0.248 0.661
V3 0.500 0.250 0.000
V4 0.500 0.750 0.000
V5 0.144 0.752 0.339
V6 0.144 0.248 0.339

**SG**: P2/m
**Calculated total energy**: -8.7877 eV per atom
**Energy of formation**: -301 meV/atom
**Calculated density**: 9.2 Mg/m³

=====

Entry 7:
Density functional theory data (PBE) for SbIr2F after structural relaxation.

Unit cell a=6.860 b=6.860 c=5.556 alpha=51.87 beta=51.87 gamma=90.00
Fractional positions:
Sb1 0.000 0.000 0.000
Sb2 0.750 0.250 0.500
Ir1 0.600 0.125 0.250
Ir2 0.150 0.625 0.250
Ir3 0.375 0.400 0.750
Ir4 0.875 0.850 0.750
F1 0.500 0.500 0.000
F2 0.250 0.750 0.500

**Relative energy among the computed polymorphs**: 0.228 eV/atom
**SG**: I-42d
**Calculated total energy**: -5.7231 eV per atom
**Uncorrected formation energy**: 0.2059 eV per atom
**Calculated density**: 13.7 Mg/m³

=====

Entry 8:
Density functional theory data (PBE) for Nd2Dy5In5 after structural relaxation.

Unit cell a=5.117 b=6.521 c=11.987 alpha=107.28 beta=90.00 gamma=113.10
Fractional positions:
Nd1 0.073 0.145 0.757
Nd2 0.927 0.855 0.243
Dy1 0.500 0.000 0.500
Dy2 0.652 0.303 0.004
Dy3 0.631 0.262 0.279
Dy4 0.369 0.738 0.721
Dy5 0.348 0.697 0.996
In1 0.170 0.341 0.467
In2 0.747 0.495 0.783
In3 0.253 0.505 0.217
In4 0.830 0.659 0.533
In5 0.000 0.000 0.000

**SG**: C2/m
**Calculated total energy**: -4.1573 eV per atom
**Energy of formation**: -304 meV/atom
**Calculated density**: 8.0 Mg/m³

=====

| no. | Fermi-level density of states (states/eV/cell) |
| --- | --- |
| 1 | 4.7 |
| 2 | 1.0 |
| 3 | 4.2 |
| 4 | 2.5 |
| 5 | 3.7 |
| 6 | 16.0 |
| 7 | 9.2 |
| 8 | 12.8 |